Below is crystalline BaAc6Co2 at its relaxed geometry, with properties calculated at the GGA-PBE level.

a = 8.2564 Å, b = 8.2564 Å, c = 8.2564 Å
α = 56.97°, β = 56.97°, γ = 56.97°
Sites, in units of the cell vectors:
Ba  0.0000  0.0000  0.0000
Ac  0.1001  0.6546  0.5295
Ac  0.3587  0.4673  0.9247
Ac  0.4673  0.9247  0.3587
Ac  0.5295  0.1001  0.6546
Ac  0.6546  0.5295  0.1001
Ac  0.9247  0.3587  0.4673
Co  0.3384  0.3384  0.3384
Co  0.5068  0.5068  0.5068

Its space-group type is No. 146. Its calculated total energy is -4.42 eV/atom.